Record 1
Entry from OQMD: a geometry-optimized RbPrAlTe3 structure (PBE-GGA).

Unit cell a=12.4866 b=5.0358 c=13.5794 alpha=90.00 beta=90.00 gamma=90.00
Positions (direct):
1 Rb 0.1787 0.2500 0.0042
2 Rb 0.3213 0.7500 0.5042
3 Rb 0.6787 0.2500 0.4958
4 Rb 0.8213 0.7500 0.9958
5 Pr 0.0273 0.2500 0.3270
6 Pr 0.4727 0.7500 0.8270
7 Pr 0.5273 0.2500 0.1730
8 Pr 0.9727 0.7500 0.6730
9 Al 0.2401 0.2500 0.7201
10 Al 0.2599 0.7500 0.2201
11 Al 0.7401 0.2500 0.7799
12 Al 0.7599 0.7500 0.2799
13 Te 0.0522 0.7500 0.1702
14 Te 0.0996 0.2500 0.5639
15 Te 0.2096 0.7500 0.7969
16 Te 0.2904 0.2500 0.2969
17 Te 0.4004 0.7500 0.0639
18 Te 0.4478 0.2500 0.6702
19 Te 0.5522 0.7500 0.3298
20 Te 0.5996 0.2500 0.9361
21 Te 0.7096 0.7500 0.7031
22 Te 0.7904 0.2500 0.2031
23 Te 0.9004 0.7500 0.4361
24 Te 0.9478 0.2500 0.8298

* space group: Pnma (62)
* crystal system: orthorhombic

Record 2
Entry from OQMD: a geometry-optimized RbPrAlTe3 structure (PBE-GGA).

Unit cell a=8.2453 b=8.2453 c=12.1723 alpha=90.00 beta=90.00 gamma=145.35
Positions (direct):
1 Rb 0.2474 0.7526 0.7500
2 Rb 0.7526 0.2474 0.2500
3 Pr 0.5000 0.5000 0.0000
4 Pr 0.5000 0.5000 0.5000
5 Al 0.0200 0.9800 0.2500
6 Al 0.9800 0.0200 0.7500
7 Te 0.1249 0.8751 0.0720
8 Te 0.1249 0.8751 0.4280
9 Te 0.4372 0.5628 0.2500
10 Te 0.5628 0.4372 0.7500
11 Te 0.8751 0.1249 0.5720
12 Te 0.8751 0.1249 0.9280

* space group: Cmcm (63)
* crystal system: orthorhombic

Record 3
Entry from OQMD: a geometry-optimized PrAlRe structure (PBE-GGA).

Unit cell a=4.6012 b=4.6012 c=4.6012 alpha=60.00 beta=60.00 gamma=60.00
Positions (direct):
1 Pr 0.0000 0.0000 0.0000
2 Al 0.2500 0.2500 0.2500
3 Re 0.5000 0.5000 0.5000

* space group: F-43m (216)
* crystal system: cubic

DFT total energy for the records above, in order: -4.113; -4.107; -6.353 eV per atom
Total moment for the records above, in order: 0.03; 0.18; 0.14 Bohr magnetons per cell